The following is a DFT calculation (GGA+U) of NdCr2O2 after structural relaxation.

## Properties
Raw total energy: -6.71 eV/atom

a = 8.019 Å, b = 8.019 Å, c = 8.019 Å
α = 113.02°, β = 113.02°, γ = 102.59°
Fractional coordinates of all 20 atoms:
Nd 0.000 0.000 0.000
Nd 0.000 0.000 0.500
Nd 0.000 0.500 0.000
Nd 0.500 0.000 0.500
Cr 0.082 0.635 0.448
Cr 0.313 0.365 0.948
Cr 0.365 0.313 0.448
Cr 0.365 0.918 0.052
Cr 0.635 0.082 0.948
Cr 0.635 0.687 0.552
Cr 0.687 0.635 0.052
Cr 0.918 0.365 0.552
O 0.210 0.301 0.591
O 0.210 0.619 0.909
O 0.301 0.210 0.091
O 0.381 0.790 0.591
O 0.619 0.210 0.409
O 0.699 0.790 0.909
O 0.790 0.381 0.091
O 0.790 0.699 0.409